Computed, not measured: crystalline BaRuW4 at its relaxed geometry at the PBE-GGA level of DFT.

## Properties
The volume is 19.4 A^3/atom. The symmetry is F-43m, No. 216. The calculated formation energy is 6.603 eV/f.u.

Cell: 5.4766 5.4766 5.4766 Å, 60.00 60.00 60.00°
Closest atoms and distances in Å follow each position.
Element x y z (fractional)
1 Ba 0.0000 0.0000 0.0000  12 W 3.21, 4 Ru 3.35
2 Ru 0.7500 0.7500 0.7500  12 W 3.21, 4 Ba 3.35
3 W 0.3752 0.3752 0.3752  6 W 2.73-2.74
4 W 0.3752 0.3752 0.8744  6 W 2.73-2.74
5 W 0.3752 0.8744 0.3752  6 W 2.73-2.74
6 W 0.8744 0.3752 0.3752  6 W 2.73-2.74

Computed, not measured: crystalline CsYMnSe3 at its relaxed geometry at the PBE-GGA level of DFT.

## Properties
The volume is 31.8 A^3/atom. The calculation puts the uncorrected formation energy at -1351 meV per atom. The symmetry is P2_1/m, No. 11.

Cell: 4.2361 11.1017 8.3900 Å, 90.00 104.60 90.00°
Closest atoms and distances in Å follow each position.
Element x y z (fractional)
1 Cs 0.2427 0.2500 0.4848  8 Se 3.71-3.99
2 Cs 0.7573 0.7500 0.5152  8 Se 3.71-3.99
3 Y 0.5000 0.0000 0.0000  6 Se 2.90-2.92
4 Y 0.5000 0.5000 0.0000  6 Se 2.90-2.92
5 Mn 0.0358 0.7500 0.0728  4 Se 2.49-2.59
6 Mn 0.9642 0.2500 0.9272  4 Se 2.49-2.59
7 Se 0.1153 0.5582 0.2310  1 Mn 2.49
8 Se 0.1153 0.9418 0.2310  1 Mn 2.49
9 Se 0.4445 0.7500 0.8899  2 Mn 2.59
10 Se 0.5555 0.2500 0.1101  2 Mn 2.59
11 Se 0.8847 0.0582 0.7690  1 Mn 2.49
12 Se 0.8847 0.4418 0.7690  1 Mn 2.49

Computed, not measured: crystalline NdHo5Er7 at its relaxed geometry at the PBE-GGA level of DFT.

## Properties
The volume is 32.3 A^3/atom. The symmetry is Imm2, No. 44. The calculated formation energy is 3.301 eV/f.u.

Cell: 8.6205 8.6205 8.6205 Å, 134.58 100.68 96.48°
Closest atoms and distances in Å follow each position.
Element x y z (fractional)
1 Nd 0.0000 0.0000 0.0000  7 Er 3.49-3.86, 4 Ho 3.75
2 Ho 0.0286 0.0332 0.4622  4 Er 3.08-3.44, 2 Ho 3.11-3.36
3 Ho 0.0286 0.5664 0.9954  4 Er 3.08-3.44, 2 Ho 3.11-3.36
4 Ho 0.3026 0.8026 0.5000  6 Er 3.33-3.45, 4 Ho 3.36
5 Ho 0.5710 0.0332 0.0046  4 Er 3.08-3.44, 2 Ho 3.11-3.36
6 Ho 0.5710 0.5664 0.5378  4 Er 3.08-3.44, 2 Ho 3.11-3.36
7 Er 0.2204 0.5505 0.6699  5 Ho 3.44-3.45, 5 Er 3.44-3.77
8 Er 0.3036 0.3036 0.0000  6 Ho 3.33-3.47, 1 Nd 3.49, 1 Er 3.51
9 Er 0.3816 0.0513 0.3302  4 Er 3.40-3.77, 5 Ho 3.41-3.46, 1 Nd 3.68
10 Er 0.6094 0.6094 0.0000  7 Er 3.51-3.87, 4 Ho 3.68
11 Er 0.7211 0.0513 0.6698  4 Er 3.40-3.77, 5 Ho 3.41-3.46, 1 Nd 3.68
12 Er 0.7987 0.2987 0.5000  4 Ho 3.08, 4 Er 3.40-3.44
13 Er 0.8806 0.5505 0.3301  5 Ho 3.44-3.45, 5 Er 3.44-3.77

Computed, not measured: crystalline Cs3Mg2CdCl9 at its relaxed geometry at the PBE-GGA level of DFT.

## Properties
The volume is 28.0 A^3/atom. The calculation puts the uncorrected formation energy at -1771 meV per atom. The symmetry is P-3m1, No. 164.

Cell: 7.3446 7.3446 9.0039 Å, 90.00 90.00 120.00°
Closest atoms and distances in Å follow each position.
Element x y z (fractional)
1 Cs 0.0000 0.0000 0.0000  12 Cl 3.66-3.67
2 Cs 0.3333 0.6667 0.6650  12 Cl 3.67-3.69
3 Cs 0.6667 0.3333 0.3350  12 Cl 3.67-3.69
4 Mg 0.3333 0.6667 0.1603  6 Cl 2.55-2.56
5 Mg 0.6667 0.3333 0.8397  6 Cl 2.55-2.56
6 Cd 0.0000 0.0000 0.5000  6 Cl 2.67
7 Cl 0.0000 0.5000 0.0000  2 Mg 2.56
8 Cl 0.1708 0.3416 0.3269  1 Mg 2.55, 1 Cd 2.67
9 Cl 0.1708 0.8292 0.3269  1 Mg 2.55, 1 Cd 2.67
10 Cl 0.3416 0.1708 0.6731  1 Mg 2.55, 1 Cd 2.67
11 Cl 0.5000 0.0000 0.0000  2 Mg 2.56
12 Cl 0.5000 0.5000 0.0000  2 Mg 2.56
13 Cl 0.6584 0.8292 0.3269  1 Mg 2.55, 1 Cd 2.67
14 Cl 0.8292 0.1708 0.6731  1 Mg 2.55, 1 Cd 2.67
15 Cl 0.8292 0.6584 0.6731  1 Mg 2.55, 1 Cd 2.67

Computed, not measured: crystalline Sc2BeTl at its relaxed geometry at the PBE-GGA level of DFT.

## Properties
The volume is 20.5 A^3/atom. The symmetry is P4mm, No. 99. The calculated formation energy is 0.458 eV/f.u.

Cell: 3.2036 3.2036 7.9816 Å, 90.00 90.00 90.00°
Closest atoms and distances in Å follow each position.
Element x y z (fractional)
1 Sc 0.0000 0.0000 0.0000  4 Be 2.79
2 Sc 0.5000 0.5000 0.2953  8 Sc 3.20-3.27, 4 Tl 3.25
3 Be 0.5000 0.5000 0.7949  4 Sc 2.79, 4 Tl 2.81
4 Tl 0.0000 0.0000 0.5866  4 Be 2.81

Computed, not measured: crystalline Ca2IrPb at its relaxed geometry at the PBE-GGA level of DFT.

## Properties
The volume is 27.3 A^3/atom. The symmetry is Pmm2, No. 25. The calculated formation energy is -0.370 eV/f.u.

Cell: 3.4416 3.6305 8.7283 Å, 90.00 90.00 90.00°
Closest atoms and distances in Å follow each position.
Element x y z (fractional)
1 Ca 0.0000 0.0000 0.0000  4 Ir 3.09, 1 Pb 3.23, 2 Ca 3.44
2 Ca 0.5000 0.5000 0.3766  4 Pb 3.34, 4 Ca 3.44-3.63, 1 Ir 3.63
3 Ir 0.5000 0.5000 0.7927  4 Pb 2.88, 4 Ca 3.09
4 Pb 0.0000 0.0000 0.6302  4 Ir 2.88

Density (g/cm³)
13.92, 4.47, 8.45, 3.47, 6.15, 7.30